# 1
The following is a DFT calculation (GGA-PBE) of a relaxed structure of SmEr3Ag.

Cell and atoms, written as CIF:
```
data_SmEr3Ag
_symmetry_space_group_name_H-M 'C 1 2/m 1'
_symmetry_Int_Tables_number 12
_cell_length_a 11.398
_cell_length_b 8.301
_cell_length_c 7.700
_cell_angle_alpha 90.00
_cell_angle_beta 121.35
_cell_angle_gamma 90.00
loop_
_symmetry_equiv_pos_as_xyz
'x,y,z'
'-x,-y,-z'
'-x,y,-z'
'x,-y,z'
'x+1/2,y+1/2,z'
'-x+1/2,-y+1/2,-z'
'-x+1/2,y+1/2,-z'
'x+1/2,-y+1/2,z'
loop_
_atom_site_label
_atom_site_type_symbol
_atom_site_fract_x
_atom_site_fract_y
_atom_site_fract_z
_atom_site_occupancy
Sm1 Sm 0.084 0.000 0.270 1
Er1 Er 0.056 0.500 0.314 1
Er2 Er 0.176 0.206 0.696 1
Ag1 Ag 0.247 0.000 0.057 1
```

Calculated values
* calculated volume: 31.1 Å³/atom
* energy of formation from the pure elements: 0.053 eV/atom
* raw total energy: -4.199 eV/atom
* spin magnetization: 0.0 μB/cell



# 2
The following is a DFT calculation (GGA-PBE) of a relaxed structure of Sm2ErAg3.

Cell and atoms, written as CIF:
```
data_Sm2ErAg3
_symmetry_space_group_name_H-M 'P 4/m m m'
_symmetry_Int_Tables_number 123
_symmetry_space_group_name_Hall '-P 4 2'
_cell_length_a 3.652
_cell_length_b 3.652
_cell_length_c 11.157
_cell_angle_alpha 90.00
_cell_angle_beta 90.00
_cell_angle_gamma 90.00
loop_
_atom_site_label
_atom_site_type_symbol
_atom_site_fract_x
_atom_site_fract_y
_atom_site_fract_z
_atom_site_occupancy
Sm1 Sm 0.000 0.000 0.170 1
Er1 Er 0.000 0.000 0.500 1
Ag1 Ag 0.500 0.500 0.000 1
Ag2 Ag 0.500 0.500 0.345 1
```

Calculated values
* calculated volume: 24.8 Å³/atom
* energy of formation from the pure elements: -0.299 eV/atom
* raw total energy: -4.059 eV/atom
* spin magnetization: 0.0 μB/cell



# 3
The following is a DFT calculation (GGA-PBE) of a relaxed structure of Sm2ErAg4.

Cell and atoms, written as CIF:
```
data_Sm2ErAg4
_symmetry_space_group_name_H-M 'I 4/m m m'
_symmetry_Int_Tables_number 139
_symmetry_space_group_name_Hall '-I 4 2'
_cell_length_a 5.335
_cell_length_b 5.335
_cell_length_c 12.824
_cell_angle_alpha 90.00
_cell_angle_beta 90.00
_cell_angle_gamma 90.00
loop_
_atom_site_label
_atom_site_type_symbol
_atom_site_fract_x
_atom_site_fract_y
_atom_site_fract_z
_atom_site_occupancy
Sm1 Sm 0.000 0.000 0.222 1
Er1 Er 0.000 0.000 0.500 1
Ag1 Ag 0.000 0.500 0.115 1
```

Calculated values
* calculated volume: 26.1 Å³/atom
* energy of formation from the pure elements: -0.111 eV/atom
* raw total energy: -3.740 eV/atom
* spin magnetization: 0.0 μB/cell



# 4
The following is a DFT calculation (GGA-PBE) of a relaxed structure of SmErAg.

Cell and atoms, written as CIF:
```
data_SmErAg
_symmetry_space_group_name_H-M 'I m m 2'
_symmetry_Int_Tables_number 44
_cell_length_a 5.046
_cell_length_b 5.062
_cell_length_c 7.155
_cell_angle_alpha 90.00
_cell_angle_beta 90.00
_cell_angle_gamma 90.00
loop_
_symmetry_equiv_pos_as_xyz
'x,y,z'
'-x,-y,z'
'-x,y,z'
'x,-y,z'
'x+1/2,y+1/2,z+1/2'
'-x+1/2,-y+1/2,z+1/2'
'-x+1/2,y+1/2,z+1/2'
'x+1/2,-y+1/2,z+1/2'
loop_
_atom_site_label
_atom_site_type_symbol
_atom_site_fract_x
_atom_site_fract_y
_atom_site_fract_z
_atom_site_occupancy
Sm1 Sm 0.000 0.000 0.000 1
Er1 Er 0.000 0.000 0.500 1
Ag1 Ag 0.000 0.500 0.750 1
```

Calculated values
* calculated volume: 30.5 Å³/atom
* energy of formation from the pure elements: 0.057 eV/atom
* energy above the lowest structure with this stoichiometry: 227 meV per atom
* raw total energy: -3.987 eV/atom
* spin magnetization: 0.0 μB/cell



# 5
The following is a DFT calculation (GGA-PBE) of a relaxed structure of Sm3Er4Ag.

Cell and atoms, written as CIF:
```
data_Sm3Er4Ag
_symmetry_space_group_name_H-M 'P 4/m m m'
_symmetry_Int_Tables_number 123
_symmetry_space_group_name_Hall '-P 4 2'
_cell_length_a 3.560
_cell_length_b 3.560
_cell_length_c 18.964
_cell_angle_alpha 90.00
_cell_angle_beta 90.00
_cell_angle_gamma 90.00
loop_
_atom_site_label
_atom_site_type_symbol
_atom_site_fract_x
_atom_site_fract_y
_atom_site_fract_z
_atom_site_occupancy
Sm1 Sm 0.000 0.000 0.000 1
Sm2 Sm 0.000 0.000 0.266 1
Er1 Er 0.500 0.500 0.134 1
Er2 Er 0.500 0.500 0.402 1
Ag1 Ag 0.000 0.000 0.500 1
```

Calculated values
* calculated volume: 30.0 Å³/atom
* energy of formation from the pure elements: -0.061 eV/atom
* raw total energy: -4.469 eV/atom
* spin magnetization: 0.0 μB/cell



# 6
The following is a DFT calculation (GGA-PBE) of a relaxed structure of Sm2Er3Ag3.

Cell and atoms, written as CIF:
```
data_Sm2Er3Ag3
_symmetry_space_group_name_H-M 'I m m m'
_symmetry_Int_Tables_number 71
_symmetry_space_group_name_Hall '-I 2 2'
_cell_length_a 3.694
_cell_length_b 5.232
_cell_length_c 21.522
_cell_angle_alpha 90.00
_cell_angle_beta 90.00
_cell_angle_gamma 90.00
loop_
_atom_site_label
_atom_site_type_symbol
_atom_site_fract_x
_atom_site_fract_y
_atom_site_fract_z
_atom_site_occupancy
Sm1 Sm 0.000 0.000 0.231 1
Er1 Er 0.000 0.000 0.000 1
Er2 Er 0.000 0.500 0.118 1
Ag1 Ag 0.000 0.000 0.500 1
Ag2 Ag 0.000 0.500 0.386 1
```

Calculated values
* calculated volume: 26.0 Å³/atom
* energy of formation from the pure elements: -0.205 eV/atom
* raw total energy: -4.165 eV/atom
* spin magnetization: 0.0 μB/cell



# 7
The following is a DFT calculation (GGA-PBE) of a relaxed structure of SmErAg.

Cell and atoms, written as CIF:
```
data_SmErAg
_symmetry_space_group_name_H-M 'I 4 m m'
_symmetry_Int_Tables_number 107
_symmetry_space_group_name_Hall 'I 4 -2'
_cell_length_a 3.597
_cell_length_b 3.597
_cell_length_c 12.705
_cell_angle_alpha 90.00
_cell_angle_beta 90.00
_cell_angle_gamma 90.00
loop_
_atom_site_label
_atom_site_type_symbol
_atom_site_fract_x
_atom_site_fract_y
_atom_site_fract_z
_atom_site_occupancy
Sm1 Sm 0.000 0.000 0.000 1
Er1 Er 0.000 0.000 0.298 1
Ag1 Ag 0.000 0.000 0.660 1
```

Calculated values
* calculated volume: 27.4 Å³/atom
* energy of formation from the pure elements: -0.170 eV/atom
* energy above the lowest structure with this stoichiometry: 0 meV per atom
* raw total energy: -4.214 eV/atom
* spin magnetization: 0.9 μB/cell



# 8
The following is a DFT calculation (GGA-PBE) of a relaxed structure of Sm3Er2Ag3.

Cell and atoms, written as CIF:
```
data_Sm3Er2Ag3
_symmetry_space_group_name_H-M 'I m m m'
_symmetry_Int_Tables_number 71
_symmetry_space_group_name_Hall '-I 2 2'
_cell_length_a 3.680
_cell_length_b 5.354
_cell_length_c 21.802
_cell_angle_alpha 90.00
_cell_angle_beta 90.00
_cell_angle_gamma 90.00
loop_
_atom_site_label
_atom_site_type_symbol
_atom_site_fract_x
_atom_site_fract_y
_atom_site_fract_z
_atom_site_occupancy
Sm1 Sm 0.000 0.000 0.000 1
Sm2 Sm 0.000 0.500 0.122 1
Er1 Er 0.000 0.000 0.232 1
Ag1 Ag 0.000 0.000 0.500 1
Ag2 Ag 0.000 0.500 0.379 1
```

Calculated values
* calculated volume: 26.8 Å³/atom
* energy of formation from the pure elements: -0.205 eV/atom
* raw total energy: -4.185 eV/atom
* spin magnetization: 0.0 μB/cell